Below is a geometry-optimized CaTcAs2Cl structure, with properties calculated at the PBE level.

a b c (Å): 5.1670 4.2882 5.1670
angles (deg): 90.00 90.00 90.00
Fractional coordinates of all 5 atoms:
As (0.0000, 0.0000, 0.5000)
As (0.5000, 0.0000, 0.0000)
Ca (0.5000, 0.5000, 0.5000)
Tc (0.0000, 0.5000, 0.0000)
Cl (0.0000, 0.0000, 0.0000)

## Properties
final energy = -4.084 eV/atom
space-group type = P4/mmm (123)
formation energy from raw total energies = 0.6187 eV per atom